[1]
# Dy4AlSi2

An optimized crystal structure of Dy4AlSi2 (PBE, the Alexandria database).

Properties
For the energy relative to the elements, uncorrected, the calculation gives -40.0 kJ per mole of atoms.

Cell: 4.7044 4.7044 28.7618 Å, 90.00 90.00 120.00°
With the nearest neighbours (Å) after each atom.
Space group R-3m (No. 166, hexagonal axes)
Asymmetric unit:
Dy (0.0000, 0.0000, 0.1193) x6  3 Al 3.04, 3 Si 3.07
Dy (0.0000, 0.0000, 0.2955) x6  4 Si 2.86-3.09
Al (0.0000, 0.0000, 0.5000) x3  2 Si 2.79, 6 Dy 3.04
Si (0.0000, 0.0000, 0.4029) x6  1 Al 2.79, 7 Dy 2.86-3.09

[2]
# Dy2Al3Si2

An optimized crystal structure of Dy2Al3Si2 (PBE, the Alexandria database).

Properties
For the energy relative to the elements, uncorrected, the calculation gives -53.3 kJ per mole of atoms.

Cell: 10.1775 4.0544 6.6112 Å, 90.00 101.19 90.00°
With the nearest neighbours (Å) after each atom.
Space group C2/m (No. 12)
Asymmetric unit:
Dy (0.1198, 0.0000, 0.3226) x4  5 Si 2.88-3.01, 5 Al 3.02-3.20
Al (0.0000, 0.5000, 0.0000) x2  2 Si 2.73, 4 Dy 3.02
Al (0.1946, 0.0000, 0.8666) x4  2 Si 2.61, 2 Al 2.78
Si (0.0934, 0.5000, 0.6402) x4  1 Si 2.38, 2 Al 2.61

[3]
# Dy12Al3Si5

An optimized crystal structure of Dy12Al3Si5 (PBE, the Alexandria database).

Properties
For the energy relative to the elements, uncorrected, the calculation gives -5.9 kJ per mole of atoms.

Cell: 17.0938 17.0938 17.0938 Å, 90.00 90.00 90.00°
With the nearest neighbours (Å) after each atom.
Space group Ia-3d (No. 230)
Asymmetric unit:
Dy (0.0219, 0.0676, 0.6497) x96  2 Si 2.72-2.83
Al (0.0000, 0.2500, 0.1250) x24  8 Dy 3.17-3.25
Si (0.0000, 0.0000, 0.0000) x16  6 Dy 2.83
Si (0.0000, 0.2500, 0.3750) x24  4 Dy 2.72

[4]
# Dy3Al3Si2

An optimized crystal structure of Dy3Al3Si2 (PBE, the Alexandria database).

Properties
For the energy relative to the elements, uncorrected, the calculation gives -54.2 kJ per mole of atoms.

Cell: 4.0632 10.9523 15.4360 Å, 90.00 90.00 90.00°
With the nearest neighbours (Å) after each atom.
Space group Cmcm (No. 63)
Asymmetric unit:
Dy (0.0000, 0.0831, 0.2500) x4  4 Si 2.97, 5 Al 2.98-3.22
Dy (0.0000, 0.3642, 0.0943) x8  4 Si 3.04-3.34, 7 Al 3.15-3.20
Al (0.0000, 0.0786, 0.0564) x8  2 Si 2.44, 1 Al 2.45
Al (0.0000, 0.1892, 0.7500) x4  2 Si 2.58
Si (0.0000, 0.3389, 0.6213) x8  3 Al 2.44-2.58

[5]
# Dy2AlSi

An optimized crystal structure of Dy2AlSi (PBE, the Alexandria database).

Properties
For the energy relative to the elements, uncorrected, the calculation gives -62.2 kJ per mole of atoms.

Cell: 5.8331 3.9739 8.4763 Å, 90.00 107.58 90.00°
With the nearest neighbours (Å) after each atom.
Space group P2_1/m (No. 11)
Asymmetric unit:
Dy (0.2023, 0.2500, 0.4243) x2  3 Si 3.01-3.23, 4 Al 3.07-3.14
Dy (0.2811, 0.7500, 0.0666) x2  4 Si 2.99-3.22, 3 Al 3.07-3.17
Al (0.3622, 0.7500, 0.7135) x2  2 Si 2.55
Si (0.1418, 0.2500, 0.7902) x2  2 Al 2.55

[6]
# Dy2AlSi

An optimized crystal structure of Dy2AlSi (PBE, the Alexandria database).

Properties
For the energy relative to the elements, uncorrected, the calculation gives -62.6 kJ per mole of atoms.

Cell: 3.9828 4.3391 10.8227 Å, 90.00 90.00 90.00°
With the nearest neighbours (Å) after each atom.
Space group Amm2 (No. 38)
Asymmetric unit:
Dy (0.0000, 0.0000, 0.0000) x2  4 Si 3.03, 3 Al 3.11-3.16
Dy (0.5000, 0.0000, 0.2828) x2  4 Al 3.04, 3 Si 3.05-3.20
Al (0.0000, 0.0000, 0.7123) x2  2 Si 2.55
Si (0.5000, 0.0000, 0.5650) x2  2 Al 2.55

[7]
# Dy2Al3Si

An optimized crystal structure of Dy2Al3Si (PBE, the Alexandria database).

Properties
For the energy relative to the elements, uncorrected, the calculation gives -50.4 kJ per mole of atoms.

Cell: 3.8587 4.3155 7.4780 Å, 90.00 90.00 90.00°
With the nearest neighbours (Å) after each atom.
Space group Pmm2 (No. 25)
Asymmetric unit:
Dy (0.0000, 0.0000, 0.0000) x1  2 Si 3.09, 10 Al 3.13-3.25
Dy (0.0000, 0.5000, 0.4798) x1  8 Al 3.08-3.20, 4 Si 3.12
Al (0.5000, 0.0000, 0.6502) x1  1 Si 2.45, 2 Al 2.51
Al (0.5000, 0.5000, 0.1591) x1  2 Si 2.48, 1 Al 2.52
Al (0.5000, 0.5000, 0.8215) x1  3 Al 2.51-2.52
Si (0.5000, 0.0000, 0.3226) x1  3 Al 2.45-2.48

[8]
# Dy2Al2Si3

An optimized crystal structure of Dy2Al2Si3 (PBE, the Alexandria database).

Properties
For the energy relative to the elements, uncorrected, the calculation gives -47.1 kJ per mole of atoms.

Cell: 15.0341 4.1195 11.5659 Å, 90.00 126.98 90.00°
With the nearest neighbours (Å) after each atom.
Space group C2/m (No. 12)
Asymmetric unit:
Dy (0.0971, 0.0000, 0.4419) x4  7 Si 2.93-3.14, 3 Al 3.16-3.22
Dy (0.2317, 0.0000, 0.8362) x4  6 Si 2.89-2.99
Al (0.0510, 0.5000, 0.8135) x4  4 Si 2.48-2.62
Al (0.0953, 0.0000, 0.1621) x4  4 Si 2.49-2.57
Si (0.0850, 0.5000, 0.6201) x4  1 Si 2.39, 1 Al 2.58
Si (0.1151, 0.0000, 0.9635) x4  4 Al 2.48-2.57
Si (0.1646, 0.5000, 0.3181) x4  3 Al 2.51-2.62